[1]
Tb2SbHPd6 after structural relaxation, computed with PBE-GGA.

Properties
crystal system	triclinic
space group	P-1
calculated density	10.1	g cm⁻³
raw total energy	-5.46	eV/atom

a b c (Å): 5.674 5.678 7.081
angles (deg): 66.47 66.69 61.25
Element x y z (fractional)
Tb: 0.249 0.252 0.193
Tb: 0.751 0.748 0.807
Sb: 0.000 0.000 0.000
H: 0.500 0.500 0.500
Pd: 0.189 0.691 0.349
Pd: 0.292 0.290 0.726
Pd: 0.309 0.810 0.652
Pd: 0.691 0.190 0.348
Pd: 0.708 0.710 0.274
Pd: 0.811 0.309 0.651

---

[2]
Rb2Cd2C after structural relaxation, computed with PBE-GGA.

Properties
DFT formation energy	1105	meV/atom
crystal system	tetragonal
space group	P4/mbm
calculated density	3.0	g cm⁻³
E above lowest polymorph	181	meV per atom
raw total energy	-1.49	eV/atom

a b c (Å): 8.395 8.395 6.324
angles (deg): 90.00 90.00 90.00
Element x y z (fractional)
Rb: 0.183 0.317 0.000
Rb: 0.317 0.817 0.000
Rb: 0.683 0.183 0.000
Rb: 0.817 0.683 0.000
Cd: 0.133 0.633 0.500
Cd: 0.367 0.133 0.500
Cd: 0.633 0.867 0.500
Cd: 0.867 0.367 0.500
C: 0.000 0.000 0.000
C: 0.500 0.500 0.000

---

[3]
CrSe2BrCl after structural relaxation, computed with PBE-GGA.

Properties
crystal system	tetragonal
space group	P4/mmm
calculated density	4.1	g cm⁻³
E above lowest polymorph	741	meV per atom
raw total energy	-3.13	eV/atom

a b c (Å): 5.066 5.066 5.128
angles (deg): 90.00 90.00 90.00
Element x y z (fractional)
Cr: 0.000 0.000 0.000
Se: 0.000 0.500 0.500
Se: 0.500 0.000 0.500
Br: 0.500 0.500 0.000
Cl: 0.500 0.500 0.500

---

[4]
MgInAu6 after structural relaxation, computed with PBE-GGA.

Properties
DFT formation energy	-226	meV/atom
crystal system	orthorhombic
space group	Fmmm
calculated density	14.7	g cm⁻³
E above lowest polymorph	26	meV per atom
raw total energy	-3.23	eV/atom

a b c (Å): 6.925 6.818 5.037
angles (deg): 69.64 67.37 42.99
Element x y z (fractional)
Mg: 0.000 0.000 0.000
In: 0.500 0.500 0.500
Au: 0.124 0.124 0.376
Au: 0.245 0.245 0.755
Au: 0.376 0.376 0.124
Au: 0.624 0.624 0.876
Au: 0.755 0.755 0.245
Au: 0.876 0.876 0.624

---

[5]
Ba6H2N3 after structural relaxation, computed with PBE-GGA.

Properties
crystal system	monoclinic
space group	C2/m
calculated density	4.7	g cm⁻³
raw total energy	-4.37	eV/atom

a b c (Å): 7.051 7.051 7.430
angles (deg): 99.12 99.12 119.96
Element x y z (fractional)
Ba: 0.066 0.405 0.217
Ba: 0.257 0.257 0.789
Ba: 0.405 0.066 0.217
Ba: 0.595 0.934 0.783
Ba: 0.743 0.743 0.211
Ba: 0.934 0.595 0.783
H: 0.167 0.833 0.500
H: 0.833 0.167 0.500
N: 0.000 0.000 0.000
N: 0.332 0.668 0.000
N: 0.668 0.332 0.000

---

[6]
Sm12DyHg6 after structural relaxation, computed with PBE-GGA.

Properties
DFT formation energy	-194	meV/atom
crystal system	trigonal
space group	R-3
calculated density	9.5	g cm⁻³
raw total energy	-3.51	eV/atom

a b c (Å): 8.217 8.217 8.217
angles (deg): 87.81 87.81 87.81
Element x y z (fractional)
Sm: 0.085 0.393 0.127
Sm: 0.127 0.085 0.393
Sm: 0.189 0.575 0.469
Sm: 0.393 0.127 0.085
Sm: 0.425 0.531 0.811
Sm: 0.469 0.189 0.575
Sm: 0.531 0.811 0.425
Sm: 0.575 0.469 0.189
Sm: 0.607 0.873 0.915
Sm: 0.811 0.425 0.531
Sm: 0.873 0.915 0.607
Sm: 0.915 0.607 0.873
Dy: 0.000 0.000 0.000
Hg: 0.124 0.273 0.748
Hg: 0.252 0.876 0.727
Hg: 0.273 0.748 0.124
Hg: 0.727 0.252 0.876
Hg: 0.748 0.124 0.273
Hg: 0.876 0.727 0.252